1.
First-principles (PBE) data for a relaxed structure of Na2AuI6, as listed in the Alexandria database.

Cell lengths 8.3246, 8.3246, 13.8110 Å; angles 90.00, 90.00, 90.00 degrees
With the nearest neighbours (Å) after each atom.
Space group P4_2/mnm (No. 136)
One atom of each set of equivalent atoms:
Na: 0.0000 0.0000 0.1865 x4  4 I 3.07-3.10
Au: 0.0000 0.0000 0.5000 x2  4 I 2.67
I: 0.1419 0.1419 0.0000 x4  2 Na 3.07, 1 I 3.34
I: 0.1613 0.1613 0.3637 x8  1 Au 2.67

## Properties
* crystal system: tetragonal
* formation energy without anion corrections: -0.442 eV/atom



2.
First-principles (PBE) data for a relaxed structure of NaAu2I4, as listed in the Alexandria database.

Cell lengths 8.4441, 8.4511, 9.7996 Å; angles 110.11, 99.93, 113.62 degrees
With the nearest neighbours (Å) after each atom.
Space group P1 (No. 1)
One atom of each set of equivalent atoms:
Na: 0.0000 0.0000 0.0000 x1  4 I 3.16-3.20
Na: 0.0250 0.5241 0.5015 x1  4 I 3.16-3.20
Au: 0.0132 0.7618 0.2513 x1  2 I 2.59
Au: 0.5131 0.2620 0.7514 x1  4 I 2.74-2.83
Au: 0.5132 0.7619 0.2514 x1  4 I 2.73-2.84
Au: 0.5130 0.7619 0.7513 x1  2 I 2.59
I: 0.2051 0.9612 0.7548 x1  1 Au 2.83, 1 Na 3.16
I: 0.2081 0.4500 0.2475 x1  1 Au 2.84, 1 Na 3.16
I: 0.3148 0.4530 0.7753 x1  2 Au 2.59-2.74
I: 0.3463 0.9834 0.2749 x1  2 Au 2.59-2.73
I: 0.6799 0.5401 0.2275 x1  2 Au 2.59-2.73
I: 0.7112 0.0707 0.7271 x1  2 Au 2.59-2.74
I: 0.8184 0.0736 0.2553 x1  1 Au 2.84, 1 Na 3.16
I: 0.8212 0.5627 0.7478 x1  1 Au 2.83, 1 Na 3.16

## Properties
* crystal system: triclinic
* DOS at the Fermi energy: 0.291 states/eV per atom
* formation energy without anion corrections: -0.344 eV/atom



3.
First-principles (PBE) data for a relaxed structure of Na2AuI4, as listed in the Alexandria database.

Cell lengths 7.8655, 7.8655, 8.7146 Å; angles 90.00, 90.00, 90.00 degrees
With the nearest neighbours (Å) after each atom.
Space group I-42m (No. 121)
One atom of each set of equivalent atoms:
Na: 0.0000 0.5000 0.2500 x4  8 I 3.35-3.73
Au: 0.0000 0.0000 0.0000 x2  4 I 2.77
I: 0.2474 0.2474 0.0354 x8  1 Au 2.77

## Properties
* crystal system: tetragonal
* DOS at the Fermi energy: 0.434 states/eV per atom
* energy relative to the lowest polymorph listed for this composition: 0 meV/atom
* formation energy without anion corrections: -0.668 eV/atom



4.
First-principles (PBE) data for a relaxed structure of Na5AuI4, as listed in the Alexandria database.

Cell lengths 4.5559, 4.5559, 32.2423 Å; angles 90.00, 90.00, 90.00 degrees
With the nearest neighbours (Å) after each atom.
Space group I4/mmm (No. 139)
One atom of each set of equivalent atoms:
Na: 0.0000 0.0000 0.0000 x2  2 I 3.16, 4 Au 3.22
Na: 0.0000 0.0000 0.1998 x4  6 I 3.22-3.28
Na: 0.0000 0.0000 0.4038 x4  1 Au 3.10, 5 I 3.22-3.31
Au: 0.0000 0.0000 0.5000 x2  6 Na 3.10-3.22
I: 0.0000 0.0000 0.0980 x4  6 Na 3.16-3.28
I: 0.0000 0.0000 0.3011 x4  6 Na 3.22-3.31

## Properties
* crystal system: tetragonal
* DOS at the Fermi energy: 0.000 states/eV per atom
* formation energy without anion corrections: -1.024 eV/atom



5.
First-principles (PBE) data for a relaxed structure of Na2AuI5, as listed in the Alexandria database.

Cell lengths 6.4691, 14.8071, 13.6464 Å; angles 90.00, 90.00, 90.00 degrees
With the nearest neighbours (Å) after each atom.
Space group Cmcm (No. 63)
One atom of each set of equivalent atoms:
Na: 0.0000 0.1806 0.0791 x8  5 I 3.08-3.25
Au: 0.0000 0.1854 0.7500 x4  4 I 2.76-2.79
I: 0.0000 0.0523 0.6084 x8  1 Au 2.76
I: 0.0000 0.3166 0.2500 x4  2 Na 3.08, 2 Au 3.23
I: 0.0000 0.3185 0.6054 x8  1 Au 2.79

## Properties
* crystal system: orthorhombic
* DOS at the Fermi energy: 0.499 states/eV per atom
* formation energy without anion corrections: -0.587 eV/atom



6.
First-principles (PBE) data for a relaxed structure of NaAuI3, as listed in the Alexandria database.

Cell lengths 8.7142, 11.3879, 8.3574 Å; angles 90.00, 111.50, 90.00 degrees
With the nearest neighbours (Å) after each atom.
Space group P2_1/c (No. 14)
One atom of each set of equivalent atoms:
Na: 0.0839 0.1276 0.2388 x4  5 I 3.23-3.31
Au: 0.4950 0.6248 0.7511 x4  4 I 2.65-2.87
I: 0.1699 0.6434 0.6628 x4  1 Au 2.66
I: 0.1797 0.1052 0.6494 x4  1 Au 2.65
I: 0.4602 0.1256 0.2438 x4  2 Au 2.87

## Properties
* crystal system: monoclinic
* energy relative to the lowest polymorph listed for this composition: 0 meV/atom
* formation energy without anion corrections: -0.520 eV/atom



7.
First-principles (PBE) data for a relaxed structure of Na2AuI4, as listed in the Alexandria database.

Cell lengths 4.2392, 6.2714, 10.1639 Å; angles 98.96, 101.78, 90.14 degrees
With the nearest neighbours (Å) after each atom.
Space group P-1 (No. 2)
One atom of each set of equivalent atoms:
Na: 0.2047 0.2277 0.4106 x2  4 I 3.10-3.20
Au: 0.0000 0.0000 0.0000 x1  4 I 2.79-2.83
I: 0.1821 0.7175 0.3587 x2  4 Na 3.10-3.20
I: 0.4328 0.7472 0.8758 x2  2 Au 2.79-2.83

## Properties
* crystal system: triclinic
* DOS at the Fermi energy: 0.641 states/eV per atom
* energy relative to the lowest polymorph listed for this composition: 26 meV/atom
* formation energy without anion corrections: -0.642 eV/atom



8.
First-principles (PBE) data for a relaxed structure of Na2AuI4, as listed in the Alexandria database.

Cell lengths 5.8433, 5.8433, 15.9023 Å; angles 90.00, 90.00, 90.00 degrees
With the nearest neighbours (Å) after each atom.
Space group I4/mmm (No. 139)
One atom of each set of equivalent atoms:
Na: 0.0000 0.0000 0.1252 x4  1 I 3.13
Au: 0.0000 0.0000 0.5000 x2  6 I 2.83-2.92
I: 0.0000 0.0000 0.3219 x4  1 Au 2.83, 1 Na 3.13
I: 0.0000 0.5000 0.0000 x4  2 Au 2.92

## Properties
* crystal system: tetragonal
* DOS at the Fermi energy: 0.645 states/eV per atom
* energy relative to the lowest polymorph listed for this composition: 86 meV/atom
* formation energy without anion corrections: -0.582 eV/atom



9.
First-principles (PBE) data for a relaxed structure of NaAuI3, as listed in the Alexandria database.

Cell lengths 5.7535, 5.7535, 5.7535 Å; angles 90.00, 90.00, 90.00 degrees
With the nearest neighbours (Å) after each atom.
Space group Pm-3m (No. 221)
One atom of each set of equivalent atoms:
Na: 0.0000 0.0000 0.0000 x1  12 I 4.07
Au: 0.5000 0.5000 0.5000 x1  6 I 2.88
I: 0.0000 0.5000 0.5000 x3  2 Au 2.88

## Properties
* crystal system: cubic
* DOS at the Fermi energy: 0.243 states/eV per atom
* energy relative to the lowest polymorph listed for this composition: 136 meV/atom
* formation energy without anion corrections: -0.385 eV/atom



10.
First-principles (PBE) data for a relaxed structure of NaAuI3, as listed in the Alexandria database.

Cell lengths 5.8670, 5.8670, 5.8670 Å; angles 90.00, 90.00, 90.00 degrees
With the nearest neighbours (Å) after each atom.
Space group Pm-3m (No. 221)
One atom of each set of equivalent atoms:
Na: 0.0000 0.0000 0.0000 x1  6 I 2.93
Au: 0.5000 0.5000 0.5000 x1  12 I 4.15
I: 0.0000 0.0000 0.5000 x3  2 Na 2.93

## Properties
* crystal system: cubic
* DOS at the Fermi energy: 1.695 states/eV per atom
* energy relative to the lowest polymorph listed for this composition: 796 meV/atom
* formation energy without anion corrections: 0.276 eV/atom



11.
First-principles (PBE) data for a relaxed structure of Na2Au2I7, as listed in the Alexandria database.

Cell lengths 8.1928, 14.1611, 7.9579 Å; angles 90.00, 101.11, 90.00 degrees
With the nearest neighbours (Å) after each atom.
Space group C2/m (No. 12)
One atom of each set of equivalent atoms:
Na: 0.0000 0.1874 0.0000 x4  6 I 3.17-3.45
Au: 0.2113 0.5000 0.2358 x4  4 I 2.65-2.97
I: 0.0000 0.5000 0.5000 x2  2 Au 2.97, 2 I 3.28
I: 0.2332 0.5000 0.8842 x4  1 Au 2.84
I: 0.2394 0.1848 0.7306 x8  1 Au 2.65

## Properties
* crystal system: monoclinic
* DOS at the Fermi energy: 0.007 states/eV per atom
* energy relative to the lowest polymorph listed for this composition: 0 meV/atom
* formation energy without anion corrections: -0.437 eV/atom



12.
First-principles (PBE) data for a relaxed structure of NaAu2I8, as listed in the Alexandria database.

Cell lengths 8.1684, 8.1684, 13.2616 Å; angles 90.00, 90.00, 90.00 degrees
With the nearest neighbours (Å) after each atom.
Space group I422 (No. 97)
One atom of each set of equivalent atoms:
Na: 0.0000 0.0000 0.0000 x2  8 I 3.43
Au: 0.0000 0.5000 0.2500 x4  4 I 2.70
I: 0.1716 0.3197 0.6163 x16  1 Au 2.70

## Properties
* crystal system: tetragonal
* DOS at the Fermi energy: 1.075 states/eV per atom
* formation energy without anion corrections: -0.169 eV/atom



13.
First-principles (PBE) data for a relaxed structure of NaAuI3, as listed in the Alexandria database.

Cell lengths 9.0200, 8.8285, 11.0042 Å; angles 90.00, 118.07, 90.00 degrees
With the nearest neighbours (Å) after each atom.
Space group P2_1/c (No. 14)
One atom of each set of equivalent atoms:
Na: 0.2015 0.1715 0.1826 x4  5 I 3.15-3.48
Au: 0.3058 0.6884 0.3411 x4  4 I 2.65-2.88
I: 0.0395 0.5104 0.2157 x4  1 Au 2.65
I: 0.2638 0.6878 0.5850 x4  2 Au 2.88
I: 0.3882 0.1904 0.5280 x4  1 Au 2.66

## Properties
* crystal system: monoclinic
* DOS at the Fermi energy: 0.173 states/eV per atom
* energy relative to the lowest polymorph listed for this composition: 32 meV/atom
* formation energy without anion corrections: -0.488 eV/atom



14.
First-principles (PBE) data for a relaxed structure of Na2Au2I, as listed in the Alexandria database.

Cell lengths 8.3389, 8.3389, 4.0094 Å; angles 90.00, 90.00, 90.00 degrees
With the nearest neighbours (Å) after each atom.
Space group P4/mbm (No. 127)
One atom of each set of equivalent atoms:
Na: 0.1683 0.3317 0.0000 x4  2 I 3.10, 6 Au 3.13-3.25
Au: 0.1149 0.6149 0.5000 x4  1 Au 2.71
I: 0.0000 0.0000 0.0000 x2  4 Na 3.10

## Properties
* crystal system: tetragonal
* DOS at the Fermi energy: 0.912 states/eV per atom
* formation energy without anion corrections: -0.236 eV/atom



15.
First-principles (PBE) data for a relaxed structure of NaAuI6, as listed in the Alexandria database.

Cell lengths 6.4772, 6.9734, 8.8180 Å; angles 100.15, 92.35, 112.60 degrees
With the nearest neighbours (Å) after each atom.
Space group P-1 (No. 2)
One atom of each set of equivalent atoms:
Na: 0.0000 0.0000 0.0000 x1  6 I 3.16-3.44
Au: 0.5000 0.0000 0.5000 x1  4 I 2.66-2.75
I: 0.1022 0.8538 0.6263 x2  1 Au 2.75
I: 0.2455 0.4920 0.0084 x2  1 Na 3.16, 2 I 3.22-3.27
I: 0.4070 0.2214 0.3111 x2  1 Au 2.66

## Properties
* crystal system: triclinic
* DOS at the Fermi energy: 0.481 states/eV per atom
* formation energy without anion corrections: -0.264 eV/atom



16.
First-principles (PBE) data for a relaxed structure of Na2Au2I7, as listed in the Alexandria database.

Cell lengths 6.1425, 17.1815, 8.8080 Å; angles 90.00, 104.88, 90.00 degrees
With the nearest neighbours (Å) after each atom.
Space group P2_1/c (No. 14)
One atom of each set of equivalent atoms:
Na: 0.2410 0.1135 0.0324 x4  6 I 3.20-3.46
Au: 0.2326 0.6106 0.8640 x4  4 I 2.68-2.90
I: 0.0000 0.0000 0.5000 x2  2 Au 2.82
I: 0.1415 0.2189 0.7216 x4  1 Au 2.90, 1 I 3.12, 1 Na 3.21
I: 0.2837 0.5714 0.5786 x4  1 Au 2.70
I: 0.4329 0.6795 0.1368 x4  1 Au 2.68

## Properties
* crystal system: monoclinic
* DOS at the Fermi energy: 0.329 states/eV per atom
* energy relative to the lowest polymorph listed for this composition: 54 meV/atom
* formation energy without anion corrections: -0.384 eV/atom



17.
First-principles (PBE) data for a relaxed structure of NaAuI2O, as listed in the Alexandria database.

Cell lengths 5.8602, 5.8602, 4.0418 Å; angles 90.00, 90.00, 90.00 degrees
With the nearest neighbours (Å) after each atom.
Space group P4/mmm (No. 123)
One atom of each set of equivalent atoms:
Na: 0.0000 0.0000 0.0000 x1  8 I 3.56
Au: 0.5000 0.5000 0.5000 x1  2 O 2.02
I: 0.0000 0.5000 0.5000 x2  2 Au 2.93
O: 0.5000 0.5000 0.0000 x1  2 Au 2.02

## Properties
* crystal system: tetragonal
* DOS at the Fermi energy: 1.063 states/eV per atom
* energy relative to the lowest polymorph listed for this composition: 0 meV/atom
* formation energy without anion corrections: -0.263 eV/atom



18.
First-principles (PBE) data for a relaxed structure of NaAuI2O, as listed in the Alexandria database.

Cell lengths 5.7888, 5.7888, 4.1048 Å; angles 90.00, 90.00, 90.00 degrees
With the nearest neighbours (Å) after each atom.
Space group P4/mmm (No. 123)
One atom of each set of equivalent atoms:
Na: 0.0000 0.0000 0.0000 x1  2 O 2.05
Au: 0.5000 0.5000 0.5000 x1  8 I 3.55
I: 0.0000 0.5000 0.0000 x2  2 Na 2.89
O: 0.0000 0.0000 0.5000 x1  2 Na 2.05

## Properties
* crystal system: tetragonal
* DOS at the Fermi energy: 2.372 states/eV per atom
* energy relative to the lowest polymorph listed for this composition: 723 meV/atom
* formation energy without anion corrections: 0.460 eV/atom



19.
First-principles (PBE) data for a relaxed structure of NaPdAu2I, as listed in the Alexandria database.

Cell lengths 5.0335, 5.0335, 5.4573 Å; angles 90.00, 90.00, 90.00 degrees
With the nearest neighbours (Å) after each atom.
Space group P4/mmm (No. 123)
One atom of each set of equivalent atoms:
Na: 0.0000 0.0000 0.0000 x1  4 Au 2.52, 2 I 2.73
Pd: 0.5000 0.5000 0.5000 x1  4 I 3.56, 8 Au 3.71
Au: 0.0000 0.5000 0.0000 x2  2 Na 2.52
I: 0.0000 0.0000 0.5000 x1  2 Na 2.73

## Properties
* crystal system: tetragonal
* DOS at the Fermi energy: 0.497 states/eV per atom
* formation energy without anion corrections: 0.828 eV/atom



20.
First-principles (PBE) data for a relaxed structure of RbNaAuI3, as listed in the Alexandria database.

Cell lengths 18.8871, 8.4826, 7.1581 Å; angles 90.00, 99.45, 90.00 degrees
With the nearest neighbours (Å) after each atom.
Space group C2/m (No. 12)
One atom of each set of equivalent atoms:
Rb: 0.2455 0.0000 0.2102 x4  4 I 3.62-3.91
Na: 0.0517 0.5000 0.2320 x4  3 I 2.99-3.27, 2 Au 3.21
Au: 0.0000 0.2341 0.5000 x4  2 I 2.58
I: 0.0828 0.2515 0.8249 x8  1 Au 2.58
I: 0.2119 0.5000 0.2778 x4  1 Na 2.99

## Properties
* crystal system: monoclinic
* DOS at the Fermi energy: 0.000 states/eV per atom
* formation energy without anion corrections: -0.861 eV/atom



21.
First-principles (PBE) data for a relaxed structure of Na2AuSI, as listed in the Alexandria database.

Cell lengths 5.5505, 5.5505, 4.6366 Å; angles 90.00, 90.00, 90.00 degrees
With the nearest neighbours (Å) after each atom.
Space group P4/mmm (No. 123)
One atom of each set of equivalent atoms:
Na: 0.0000 0.5000 0.0000 x2  2 S 2.78
Au: 0.0000 0.0000 0.5000 x1  2 S 2.32
S: 0.0000 0.0000 0.0000 x1  2 Au 2.32
I: 0.5000 0.5000 0.5000 x1  8 Na 3.62, 4 Au 3.92

## Properties
* crystal system: tetragonal
* formation energy without anion corrections: -0.765 eV/atom



22.
First-principles (PBE) data for a relaxed structure of NaSbAuI2, as listed in the Alexandria database.

Cell lengths 5.9792, 5.9792, 5.3304 Å; angles 90.00, 90.00, 90.00 degrees
With the nearest neighbours (Å) after each atom.
Space group P4/mmm (No. 123)
One atom of each set of equivalent atoms:
Na: 0.0000 0.0000 0.0000 x1  8 I 4.01, 4 Sb 4.23
Sb: 0.5000 0.5000 0.0000 x1  2 Au 2.67
Au: 0.5000 0.5000 0.5000 x1  2 Sb 2.67
I: 0.0000 0.5000 0.5000 x2  2 Au 2.99

## Properties
* crystal system: tetragonal
* DOS at the Fermi energy: 0.744 states/eV per atom
* energy relative to the lowest polymorph listed for this composition: 0 meV/atom
* formation energy without anion corrections: -0.036 eV/atom